(1)
Compound: ZnPPd
Source: the Alexandria database
Functional: PBE
Structure: relaxed

**Magnetic moment**: 0.0 Bohr magnetons per cell
**Formation energy from the elements**: -0.20 eV per atom

abc: 4.9454 3.7743 5.3864
angles: 90.00 107.57 90.00
Closest atoms and distances in Å follow each position.
Sites, in units of the cell vectors:
1 Zn 0.1963 0.2500 0.4002  4 P 2.48-2.66, 2 Pd 2.65-2.74
2 Zn 0.8037 0.7500 0.5998  4 P 2.48-2.66, 2 Pd 2.65-2.74
3 P 0.3681 0.7500 0.7370  3 Pd 2.40-2.49, 4 Zn 2.48-2.66
4 P 0.6319 0.2500 0.2630  3 Pd 2.40-2.49, 4 Zn 2.48-2.66
5 Pd 0.1764 0.2500 0.9037  3 P 2.40-2.49, 1 Zn 2.65
6 Pd 0.8236 0.7500 0.0963  3 P 2.40-2.49, 1 Zn 2.65

(2)
Compound: ZnPPd5
Source: the Alexandria database
Functional: PBE
Structure: relaxed

**Magnetic moment**: 0.0 Bohr magnetons per cell
**Formation energy from the elements**: -0.47 eV per atom

abc: 3.9267 3.9267 6.8679
angles: 90.00 90.00 90.00
Closest atoms and distances in Å follow each position.
Sites, in units of the cell vectors:
1 Zn 0.0000 0.0000 0.0000  12 Pd 2.78-2.81
2 P 0.5000 0.5000 0.5000  8 Pd 2.42
3 Pd 0.0000 0.5000 0.2932  2 P 2.42
4 Pd 0.0000 0.5000 0.7068  2 P 2.42
5 Pd 0.5000 0.0000 0.2932  2 P 2.42
6 Pd 0.5000 0.0000 0.7068  2 P 2.42
7 Pd 0.5000 0.5000 0.0000  4 Zn 2.78, 8 Pd 2.81

(3)
Compound: ZnP2Pd8
Source: the Alexandria database
Functional: PBE
Structure: relaxed

**Magnetic moment**: 0.0 Bohr magnetons per cell
**Formation energy from the elements**: -0.39 eV per atom

abc: 7.0242 7.0242 4.8753
angles: 106.21 106.21 122.56
Closest atoms and distances in Å follow each position.
Sites, in units of the cell vectors:
1 Zn 0.0000 0.0000 0.0000  9 Pd 2.60-2.88
2 P 0.2871 0.6076 0.9332  7 Pd 2.40-2.50
3 P 0.6076 0.2871 0.9332  7 Pd 2.40-2.50
4 Pd 0.0454 0.4319 0.2122  2 P 2.42-2.50
5 Pd 0.1379 0.9042 0.5292  1 P 2.42
6 Pd 0.4069 0.4069 0.6194  2 P 2.41, 2 Pd 2.63-2.68, 1 Zn 2.65
7 Pd 0.4319 0.0454 0.2122  2 P 2.42-2.50
8 Pd 0.5548 0.8982 0.7543  2 P 2.40-2.50, 1 Zn 2.60
9 Pd 0.5975 0.5975 0.2779  2 P 2.40, 2 Pd 2.63-2.68
10 Pd 0.8982 0.5548 0.7543  2 P 2.40-2.50, 1 Zn 2.60
11 Pd 0.9042 0.1379 0.5292  1 P 2.42

(4)
Compound: ZnPPd2
Source: the Alexandria database
Functional: PBE
Structure: relaxed

**Magnetic moment**: 0.0 Bohr magnetons per cell
**Formation energy from the elements**: -0.26 eV per atom

abc: 4.3398 4.3398 4.3398
angles: 60.00 60.00 60.00
Closest atoms and distances in Å follow each position.
Sites, in units of the cell vectors:
1 Zn 0.0000 0.0000 0.0000  8 Pd 2.66
2 P 0.5000 0.5000 0.5000  8 Pd 2.66
3 Pd 0.2500 0.2500 0.2500  4 P 2.66, 4 Zn 2.66
4 Pd 0.7500 0.7500 0.7500  4 P 2.66, 4 Zn 2.66

(5)
Compound: ZnPPd2
Source: the Alexandria database
Functional: PBE
Structure: relaxed

**Magnetic moment**: 0.0 Bohr magnetons per cell
**Formation energy from the elements**: -0.14 eV per atom

abc: 5.6059 5.6059 5.6059
angles: 103.17 103.17 122.98
Closest atoms and distances in Å follow each position.
Sites, in units of the cell vectors:
1 Zn 0.0000 0.0000 0.0000  2 P 2.68, 8 Pd 2.82-2.99
2 Zn 0.7500 0.2500 0.5000  2 P 2.68, 8 Pd 2.82-2.99
3 P 0.2500 0.7500 0.5000  4 Pd 2.31
4 P 0.5000 0.5000 0.0000  4 Pd 2.31
5 Pd 0.1788 0.1250 0.5538  2 P 2.31
6 Pd 0.3750 0.8212 0.9462  2 P 2.31
7 Pd 0.5712 0.6250 0.4462  2 P 2.31
8 Pd 0.8750 0.4288 0.0538  2 P 2.31

(6)
Compound: ZnPPd3
Source: the Alexandria database
Functional: PBE
Structure: relaxed

**Magnetic moment**: 0.0 Bohr magnetons per cell
**Formation energy from the elements**: -0.13 eV per atom

abc: 4.4702 4.4702 4.4702
angles: 90.00 90.00 90.00
Closest atoms and distances in Å follow each position.
Sites, in units of the cell vectors:
1 Zn 0.0000 0.0000 0.0000  12 Pd 3.16
2 P 0.5000 0.5000 0.5000  6 Pd 2.24
3 Pd 0.0000 0.5000 0.5000  2 P 2.24
4 Pd 0.5000 0.0000 0.5000  2 P 2.24
5 Pd 0.5000 0.5000 0.0000  2 P 2.24

(7)
Compound: ZrPPd3
Source: the Alexandria database
Functional: PBE
Structure: relaxed

**Magnetic moment**: 0.0 Bohr magnetons per cell
**Formation energy from the elements**: 0.98 eV per atom

abc: 4.8798 4.8798 4.8798
angles: 90.00 90.00 90.00
Closest atoms and distances in Å follow each position.
Sites, in units of the cell vectors:
1 Zr 0.0000 0.0000 0.0000  6 Pd 2.44
2 P 0.5000 0.5000 0.5000  12 Pd 3.45
3 Pd 0.0000 0.0000 0.5000  2 Zr 2.44
4 Pd 0.0000 0.5000 0.0000  2 Zr 2.44
5 Pd 0.5000 0.0000 0.0000  2 Zr 2.44

(8)
Compound: Zr2P3Pd2
Source: the Alexandria database
Functional: PBE
Structure: relaxed

**Magnetic moment**: 0.0 Bohr magnetons per cell
**Formation energy from the elements**: -0.96 eV per atom

abc: 7.2302 7.2302 10.7876
angles: 122.66 122.66 30.49
Closest atoms and distances in Å follow each position.
Sites, in units of the cell vectors:
1 Zr 0.1055 0.1055 0.4524  5 P 2.64-2.76
2 Zr 0.2392 0.2392 0.8428  6 P 2.64-2.85
3 Zr 0.7608 0.7608 0.1572  6 P 2.64-2.85
4 Zr 0.8945 0.8945 0.5476  5 P 2.64-2.76
5 P 0.1242 0.1242 0.9735  4 Pd 2.37-2.50, 2 Zr 2.64
6 P 0.3273 0.3273 0.6705  3 Pd 2.40-2.64, 1 Zr 2.64
7 P 0.4091 0.4091 0.3801  1 Pd 2.34, 1 P 2.40
8 P 0.5909 0.5909 0.6199  1 Pd 2.34, 1 P 2.40
9 P 0.6727 0.6727 0.3295  3 Pd 2.40-2.64, 1 Zr 2.64
10 P 0.8758 0.8758 0.0265  4 Pd 2.37-2.50, 2 Zr 2.64
11 Pd 0.0916 0.0916 0.1666  4 P 2.37-2.50
12 Pd 0.4462 0.4462 0.1935  3 P 2.34-2.42
13 Pd 0.5538 0.5538 0.8065  3 P 2.34-2.42
14 Pd 0.9084 0.9084 0.8334  4 P 2.37-2.50